Arrangement 1

Na5Sr3: optimized geometry, PBE.

Unit cell a=4.3339 b=4.3339 c=18.5500 alpha=90.00 beta=90.00 gamma=90.00
Fractional positions:
Na1 0.0000 0.0000 0.0000
Na2 0.0000 0.0000 0.2649
Na3 0.0000 0.0000 0.7351
Na4 0.5000 0.5000 0.3635
Na5 0.5000 0.5000 0.6365
Sr1 0.0000 0.0000 0.5000
Sr2 0.5000 0.5000 0.1286
Sr3 0.5000 0.5000 0.8714

Summary:
size of the total moment = 0.000 Bohr magnetons per cell
symmetry = P4/mmm (123)


Arrangement 2

Na5Sr3: optimized geometry, PBE.

Unit cell a=4.1699 b=4.1699 c=19.8356 alpha=90.00 beta=90.00 gamma=91.47
Fractional positions:
Na1 0.0000 0.0000 0.0000
Na2 0.0000 0.0000 0.2088
Na3 0.0000 0.0000 0.7912
Na4 0.5000 0.5000 0.1060
Na5 0.5000 0.5000 0.8940
Sr1 0.0000 0.0000 0.5000
Sr2 0.5000 0.5000 0.3427
Sr3 0.5000 0.5000 0.6573

Summary:
size of the total moment = 0.000 Bohr magnetons per cell
symmetry = Cmmm (65)


Name the most stable of them. arrangement 2.